3
Lattice="-0.937 -0.881 3.740 -3.766 0.193 1.193 -1.990 -3.320 0.811" Properties=species:S:1:pos:R:3 comment="BeTcAg | OQMD via LeMat-Bulk | GGA-PBE | relaxed" relative_energy_kcal_per_mol_atoms=0.00 spacegroup="No. 216" total_magnetization_mub_per_fu=1.6 pbc="T T T"
Ag -1.673 -1.002 1.436
Be 0.000 0.000 0.000
Tc -5.020 -3.006 4.308

4
Lattice="2.009 -2.946 2.536 -1.147 -0.414 4.203 -2.154 -3.566 1.339" Properties=species:S:1:pos:R:3 comment="BeTcAg2 | OQMD via LeMat-Bulk | GGA-PBE | relaxed" spacegroup="No. 216" e_tot_ev_per_atom=-4.356 total_magnetization_mub_per_fu=1.9 pbc="T T T"
Ag 0.000 0.000 0.000
Ag -0.969 -5.195 6.058
Be -0.646 -3.464 4.039
Tc -0.323 -1.732 2.019

4
Lattice="-2.545 -3.464 -0.027 -1.356 -1.700 3.708 -4.128 0.356 1.146" Properties=species:S:1:pos:R:3 comment="BeTc2Ag | OQMD via LeMat-Bulk | GGA-PBE | relaxed" spacegroup="No. 216" e_tot_ev_per_atom=-6.416 total_magnetization_mub_per_fu=0.0 pbc="T T T"
Ag -2.007 -1.202 1.207
Be -4.014 -2.404 2.414
Tc 0.000 0.000 0.000
Tc -6.022 -3.606 3.620

3
Lattice="3.867 -2.106 1.016 0.651 -4.280 -1.298 2.983 -0.943 -3.261" Properties=species:S:1:pos:R:3 comment="BeAgTe | OQMD via LeMat-Bulk | GGA-PBE | relaxed" relative_energy_kcal_per_mol_atoms=0.00 spacegroup="No. 216" pbc="T T T"
Ag 0.000 0.000 0.000
Be 1.875 -1.832 -0.886
Te 5.626 -5.496 -2.657

4
Lattice="4.547 -1.375 -1.649 1.564 -4.742 0.598 0.417 -3.032 -3.990" Properties=species:S:1:pos:R:3 comment="BeAgTe2 | OQMD via LeMat-Bulk | GGA-PBE | relaxed" spacegroup="No. 216" e_tot_ev_per_atom=-2.506 pbc="T T T"
Ag 0.000 0.000 0.000
Be 4.895 -6.861 -3.781
Te 1.632 -2.287 -1.260
Te 3.264 -4.574 -2.521

4
Lattice="2.559 -3.764 0.797 -2.025 -4.139 0.352 0.581 -3.148 -3.333" Properties=species:S:1:pos:R:3 comment="BeTlAg2 | OQMD via LeMat-Bulk | GGA-PBE | relaxed" spacegroup="No. 216" e_tot_ev_per_atom=-2.523 pbc="T T T"
Ag 0.000 0.000 0.000
Ag 0.837 -8.288 -1.638
Be 0.279 -2.763 -0.546
Tl 0.558 -5.525 -1.092

3
Lattice="0.000 3.254 3.254 3.254 0.000 3.254 3.254 3.254 0.000" Properties=species:S:1:pos:R:3 comment="TmBeAg | OQMD via LeMat-Bulk | GGA-PBE | relaxed" spacegroup="No. 216" e_tot_ev_per_atom=-3.021 total_magnetization_mub_per_fu=0.0 pbc="T T T"
Ag 1.627 1.627 1.627
Be 4.881 4.881 4.881
Tm 0.000 0.000 0.000

3
Lattice="0.000 2.822 2.822 2.822 0.000 2.822 2.822 2.822 0.000" Properties=species:S:1:pos:R:3 comment="BeAgW | OQMD via LeMat-Bulk | GGA-PBE | relaxed" relative_energy_kcal_per_mol_atoms=0.00 spacegroup="No. 216" total_magnetization_mub_per_fu=0.8 pbc="T T T"
Ag 1.411 1.411 1.411
Be 0.000 0.000 0.000
W 4.233 4.233 4.233